one:
AcHo2Au: optimized geometry, PBE-GGA.

```
4
Lattice="3.903 0.000 0.000 1.952 3.380 0.000 1.952 1.127 9.934" Properties=species:S:1:pos:R:3 pbc="T T T"
Ac 3.903 2.253 4.910
Ho 1.952 1.127 8.084
Ho 1.952 1.127 1.877
Au 3.903 2.253 0.030
```

## Properties
**D(E_F)**: 1.218 states/eV per atom

=====

two:
AcHo2Au: optimized geometry, PBE-GGA.

```
4
Lattice="-4.155 2.113 -2.171 -2.712 -3.522 1.763 -0.763 2.570 3.960" Properties=species:S:1:pos:R:3 pbc="T T T"
Ac -3.815 0.580 1.776
Au -2.078 1.056 -1.086
Ho -0.381 1.285 1.980
Ho -1.356 -1.761 0.881
```

## Properties
**D(E_F)**: 1.373 states/eV per atom

=====

Relative to the most stable structure, the computed energies are one 0; two 136, all in meV/atom.